Density functional theory data (PBE-GGA) for crystalline ZnFe2P at its relaxed geometry.

Cell lengths 2.695, 3.425, 5.181 Å; angles 90.00, 103.04, 90.00 degrees
Space group P2/m (No. 10)
Inequivalent atoms, fractional coordinates:
Zn 0.000 0.000 0.000 [1 per cell]
Fe 0.356 0.500 0.719 [2 per cell]
P 0.000 0.000 0.500 [1 per cell]

Properties
The value obtained for the formation enthalpy at 0 K is -69 meV per atom. The value obtained for the total energy is -0.439 Ry/atom. For the magnetic moment, the calculation gives 0.067 μB per atom.

---

Density functional theory data (PBE-GGA) for crystalline YZr3Sb2 at its relaxed geometry.

Cell lengths 17.701, 4.039, 9.063 Å; angles 90.00, 114.64, 90.00 degrees
Space group C2/m (No. 12)
Inequivalent atoms, fractional coordinates:
Y 0.112 0.000 0.124 [4 per cell]
Zr 0.059 0.000 0.659 [4 per cell]
Zr 0.148 0.500 0.479 [4 per cell]
Zr 0.186 0.500 0.895 [4 per cell]
Sb 0.009 0.500 0.830 [4 per cell]
Sb 0.246 0.000 0.723 [4 per cell]

Properties
The value obtained for the total energy is -0.537 Ry/atom. The value obtained for the energy relative to the elements, uncorrected is -586 meV/atom. For the magnetic moment, the calculation gives 0.000 μB per atom.

---

Density functional theory data (PBE-GGA) for crystalline Cs2KPd at its relaxed geometry.

Cell lengths 12.840, 12.840, 6.457 Å; angles 90.00, 90.00, 90.00 degrees
Space group I-42d (No. 122)
Inequivalent atoms, fractional coordinates:
Cs 0.098 0.250 0.125 [8 per cell]
K 0.000 0.000 0.500 [4 per cell]
Pd 0.000 0.000 0.000 [4 per cell]

Properties
The value obtained for the formation enthalpy at 0 K is 131 meV per atom. The distance to the lowest polymorph of the same formula is 0.0000 eV/atom. The value obtained for the total energy is -0.137 Ry/atom. For the magnetic moment, the calculation gives 0.068 μB per atom.

---

Density functional theory data (PBE-GGA) for crystalline CrGe2S6 at its relaxed geometry.

Cell lengths 11.606, 10.411, 6.277 Å; angles 90.00, 100.83, 90.00 degrees
Space group C2/c (No. 15)
Inequivalent atoms, fractional coordinates:
Cr 0.000 0.108 0.250 [4 per cell]
Ge 0.199 0.416 0.338 [8 per cell]
S 0.102 0.081 0.616 [8 per cell]
S 0.124 0.411 0.643 [8 per cell]
S 0.131 0.242 0.139 [8 per cell]

Properties
The value obtained for the total energy is -0.376 Ry/atom. The value obtained for the energy relative to the elements, uncorrected is -269 meV/atom. For the magnetic moment, the calculation gives 0.221 μB per atom.

---

Density functional theory data (PBE-GGA) for crystalline AcNd5Y5 at its relaxed geometry.

Cell lengths 6.2398, 6.2398, 11.9396 Å; angles 90.00, 90.00, 120.00 degrees
Space group P-6m2 (No. 187)
Inequivalent atoms, fractional coordinates:
Ac 0.0000 0.0000 0.0000 [1 per cell]
Nd 0.0000 0.0000 0.3263 [2 per cell]
Nd 0.3333 0.6667 0.1577 [2 per cell]
Nd 0.6667 0.3333 0.0000 [1 per cell]
Y 0.5008 0.0016 0.5000 [3 per cell]
Y 0.6667 0.3333 0.2628 [2 per cell]

Properties
The value obtained for the formation enthalpy at 0 K is 294 meV per atom. The value obtained for the total energy is -0.381 Ry/atom. For the magnetic moment, the calculation gives 0.000 μB per atom.

---

Density functional theory data (PBE-GGA) for crystalline Cs2DyGaSe4 at its relaxed geometry.

Cell lengths 6.395, 15.165, 26.747 Å; angles 90.00, 90.00, 90.00 degrees
Space group Fddd (No. 70, origin choice 2)
Inequivalent atoms, fractional coordinates:
Cs 0.125 0.125 0.305 [16 per cell]
Dy 0.125 0.125 0.125 [8 per cell]
Ga 0.125 0.125 0.625 [8 per cell]
Se 0.096 0.278 0.823 [32 per cell]

Properties
The value obtained for the total energy is -0.307 Ry/atom. The value obtained for the energy relative to the elements, uncorrected is -1261 meV/atom. For the magnetic moment, the calculation gives 0.000 μB per atom.